w) DFT (GGA-PBE) results for a relaxed structure of Al5Cd4.

abc: 6.7124 6.7124 6.7124
angles: 96.10 96.10 141.95
Last column: nearest neighbours and their distance in Å.
Fractional positions:
Al: 0.0000 0.0000 0.0000  4 Cd 2.94, 8 Al 3.00
Al: 0.3385 0.3385 0.6770  6 Al 2.90-3.14, 6 Cd 3.02-3.04
Al: 0.3385 0.6615 0.0000  6 Al 2.90-3.14, 6 Cd 3.02-3.04
Al: 0.6615 0.3385 0.0000  6 Al 2.90-3.14, 6 Cd 3.02-3.04
Al: 0.6615 0.6615 0.3230  6 Al 2.90-3.14, 6 Cd 3.02-3.04
Cd: 0.0000 0.3274 0.3274  7 Al 2.94-3.04, 5 Cd 3.10
Cd: 0.0000 0.6726 0.6726  7 Al 2.94-3.04, 5 Cd 3.10
Cd: 0.3274 0.0000 0.3274  7 Al 2.94-3.04, 5 Cd 3.10
Cd: 0.6726 0.0000 0.6726  7 Al 2.94-3.04, 5 Cd 3.10

## Properties
M_tot ... 0.000 μB per formula unit
Density ... 5.5 g/cm³
Volume ... 19.6 Å³ per atom

---

x) DFT (GGA-PBE) results for a relaxed structure of Al5Cd4.

abc: 8.9346 8.9346 5.4326
angles: 90.00 90.00 120.00
Last column: nearest neighbours and their distance in Å.
Fractional positions:
Al: 0.0000 0.3988 0.2500  3 Cd 2.76-2.88, 4 Al 3.05
Al: 0.0000 0.6012 0.7500  3 Cd 2.76-2.88, 4 Al 3.05
Al: 0.3333 0.6667 0.0000  2 Al 2.72
Al: 0.3333 0.6667 0.5000  2 Al 2.72
Al: 0.3988 0.0000 0.2500  3 Cd 2.76-2.88, 4 Al 3.05
Al: 0.3988 0.3988 0.7500  3 Cd 2.76-2.88, 4 Al 3.05
Al: 0.6012 0.0000 0.7500  3 Cd 2.76-2.88, 4 Al 3.05
Al: 0.6012 0.6012 0.2500  3 Cd 2.76-2.88, 4 Al 3.05
Al: 0.6667 0.3333 0.0000  2 Al 2.72
Al: 0.6667 0.3333 0.5000  2 Al 2.72
Cd: 0.0000 0.0000 0.0000  8 Cd 2.72-2.94
Cd: 0.0000 0.0000 0.5000  8 Cd 2.72-2.94
Cd: 0.0000 0.2922 0.7500  3 Al 2.76-2.88, 2 Cd 2.94
Cd: 0.0000 0.7078 0.2500  3 Al 2.76-2.88, 2 Cd 2.94
Cd: 0.2922 0.0000 0.7500  3 Al 2.76-2.88, 2 Cd 2.94
Cd: 0.2922 0.2922 0.2500  3 Al 2.76-2.88, 2 Cd 2.94
Cd: 0.7078 0.0000 0.2500  3 Al 2.76-2.88, 2 Cd 2.94
Cd: 0.7078 0.7078 0.7500  3 Al 2.76-2.88, 2 Cd 2.94

## Properties
M_tot ... 0.000 μB per formula unit
Density ... 5.2 g/cm³
Volume ... 20.9 Å³ per atom

---

Q: Which of them is the least stable? A: x).

---

w) DFT (GGA-PBE) results for a relaxed structure of Al3Cd4.

abc: 5.4128 5.4128 5.8318
angles: 90.00 90.00 120.00
Last column: nearest neighbours and their distance in Å.
Fractional positions:
Al: 0.0000 0.5000 0.0000  4 Al 2.71
Al: 0.5000 0.0000 0.0000  4 Al 2.71
Al: 0.5000 0.5000 0.0000  4 Al 2.71
Cd: 0.0000 0.0000 0.2600  2 Cd 2.80-3.03, 6 Al 3.10
Cd: 0.0000 0.0000 0.7400  2 Cd 2.80-3.03, 6 Al 3.10
Cd: 0.3333 0.6667 0.5000  9 Cd 3.13-3.42, 6 Al 3.31
Cd: 0.6667 0.3333 0.5000  9 Cd 3.13-3.42, 6 Al 3.31

## Properties
M_tot ... 0.000 μB per formula unit
Density ... 6.0 g/cm³
Volume ... 21.1 Å³ per atom

---

x) DFT (GGA-PBE) results for a relaxed structure of Al3Cd4.

abc: 10.1315 10.1315 10.1315
angles: 157.86 157.86 31.51
Last column: nearest neighbours and their distance in Å.
Fractional positions:
Al: 0.0000 0.0000 0.0000  10 Cd 2.81-3.10
Al: 0.2828 0.2828 0.0000  2 Cd 2.70-2.82
Al: 0.7172 0.7172 0.0000  2 Cd 2.70-2.82
Cd: 0.1443 0.1443 0.0000  2 Al 2.70-2.81
Cd: 0.4273 0.4273 0.0000  5 Al 2.82-3.10, 5 Cd 2.84-3.08
Cd: 0.5727 0.5727 0.0000  5 Al 2.82-3.10, 5 Cd 2.84-3.08
Cd: 0.8557 0.8557 0.0000  2 Al 2.70-2.81

## Properties
M_tot ... 0.000 μB per formula unit
Density ... 6.0 g/cm³
Volume ... 21.1 Å³ per atom

---

Q: Which of them is the least stable? A: x).

---

w) DFT (GGA-PBE) results for a relaxed structure of Ce2AlCd2.

abc: 7.7811 7.7811 3.2230
angles: 90.00 90.00 142.93
Last column: nearest neighbours and their distance in Å.
Fractional positions:
Ce: 0.0931 0.9069 0.0000  1 Ce 2.75
Ce: 0.9069 0.0931 0.0000  1 Ce 2.75
Al: 0.5000 0.5000 0.5000  2 Cd 2.94, 2 Al 3.22, 8 Ce 3.26
Cd: 0.3010 0.6990 0.5000  4 Cd 2.89-3.22, 1 Al 2.94
Cd: 0.6990 0.3010 0.5000  4 Cd 2.89-3.22, 1 Al 2.94

## Properties
M_tot ... 1.365 μB per formula unit
Density ... 7.5 g/cm³
Volume ... 23.5 Å³ per atom

---

x) DFT (GGA-PBE) results for a relaxed structure of Ce2AlCd2.

abc: 5.2954 5.8807 7.9445
angles: 107.19 95.92 93.77
Last column: nearest neighbours and their distance in Å.
Fractional positions:
Ce: 0.1975 0.0645 0.3203  2 Ce 2.72-2.84
Ce: 0.2621 0.2138 0.6810  2 Ce 2.72-2.84
Ce: 0.7379 0.7862 0.3190  2 Ce 2.72-2.84
Ce: 0.8025 0.9355 0.6797  2 Ce 2.72-2.84
Al: 0.2511 0.6366 0.5030  2 Cd 2.92-2.98, 2 Al 3.00-3.17, 6 Ce 3.20-3.26
Al: 0.7489 0.3634 0.4970  2 Cd 2.92-2.98, 2 Al 3.00-3.17, 6 Ce 3.20-3.26
Cd: 0.2061 0.4651 0.1159  4 Cd 2.84-3.09, 1 Al 2.92
Cd: 0.3243 0.7978 0.8984  4 Cd 2.87-3.09, 1 Al 2.98
Cd: 0.6757 0.2022 0.1016  4 Cd 2.87-3.09, 1 Al 2.98
Cd: 0.7939 0.5349 0.8841  4 Cd 2.84-3.09, 1 Al 2.92

## Properties
M_tot ... 1.112 μB per formula unit
Density ... 7.6 g/cm³
Volume ... 23.4 Å³ per atom

---

Q: Which of them is the least stable? A: x).

---

w) DFT (GGA-PBE) results for a relaxed structure of Ce4AlCd.

abc: 5.9806 5.9806 5.9806
angles: 126.93 121.01 83.34
Last column: nearest neighbours and their distance in Å.
Fractional positions:
Ce: 0.0896 0.8436 0.2460  3 Ce 2.79-2.99
Ce: 0.4025 0.1564 0.2460  3 Ce 2.79-2.99
Ce: 0.5975 0.8436 0.7540  3 Ce 2.79-2.99
Ce: 0.9104 0.1564 0.7540  3 Ce 2.79-2.99
Al: 0.0000 0.5000 0.5000  2 Cd 2.94
Cd: 0.5000 0.5000 0.0000  2 Al 2.94

## Properties
M_tot ... 0.559 μB per formula unit
Density ... 8.3 g/cm³
Volume ... 23.4 Å³ per atom

---

x) DFT (GGA-PBE) results for a relaxed structure of Ce4AlCd.

abc: 7.8959 7.8959 5.4651
angles: 101.48 101.48 108.11
Last column: nearest neighbours and their distance in Å.
Fractional positions:
Ce: 0.0564 0.6579 0.8811  3 Ce 2.76-3.01
Ce: 0.1695 0.3947 0.6197  2 Ce 2.76-2.83
Ce: 0.3421 0.9436 0.6189  3 Ce 2.76-3.01
Ce: 0.3947 0.1695 0.1197  2 Ce 2.76-2.83
Ce: 0.6053 0.8305 0.8803  2 Ce 2.76-2.83
Ce: 0.6579 0.0564 0.3811  3 Ce 2.76-3.01
Ce: 0.8305 0.6053 0.3803  2 Ce 2.76-2.83
Ce: 0.9436 0.3421 0.1189  3 Ce 2.76-3.01
Al: 0.0089 0.9911 0.2500  2 Al 2.74
Al: 0.9911 0.0089 0.7500  2 Al 2.74
Cd: 0.4046 0.5954 0.2500  10 Ce 3.27-3.41
Cd: 0.5954 0.4046 0.7500  10 Ce 3.27-3.41

## Properties
M_tot ... 0.002 μB per formula unit
Density ... 7.6 g/cm³
Volume ... 25.4 Å³ per atom

---

Q: Which of them is the least stable? A: x).

---

w) DFT (GGA-PBE) results for a relaxed structure of Al2CdCl.

abc: 4.9717 4.9717 4.9717
angles: 60.00 60.00 60.00
Last column: nearest neighbours and their distance in Å.
Fractional positions:
Al: 0.2500 0.2500 0.2500  4 Cl 3.04, 4 Cd 3.04
Al: 0.7500 0.7500 0.7500  4 Cl 3.04, 4 Cd 3.04
Cd: 0.0000 0.0000 0.0000  8 Al 3.04
Cl: 0.5000 0.5000 0.5000  8 Al 3.04

## Properties
M_tot ... 0.000 μB per formula unit
Density ... 3.9 g/cm³
Volume ... 21.7 Å³ per atom

---

x) DFT (GGA-PBE) results for a relaxed structure of Al2CdCl.

abc: 5.9590 5.9590 5.9590
angles: 138.84 138.84 59.61
Last column: nearest neighbours and their distance in Å.
Fractional positions:
Al: 0.0000 0.0000 0.0000  4 Cl 2.96
Al: 0.7500 0.2500 0.5000  4 Cd 2.96
Cd: 0.2500 0.7500 0.5000  4 Al 2.96
Cl: 0.5000 0.5000 0.0000  4 Al 2.96

## Properties
M_tot ... 0.000 μB per formula unit
Density ... 3.7 g/cm³
Volume ... 22.7 Å³ per atom

---

Q: Which of them is the least stable? A: w).

---

w) DFT (GGA-PBE) results for a relaxed structure of Al2CdCl.

abc: 4.9704 4.9704 4.9704
angles: 60.00 60.00 60.00
Last column: nearest neighbours and their distance in Å.
Fractional positions:
Al: 0.0000 0.0000 0.0000  4 Cl 3.04, 4 Al 3.04
Al: 0.2500 0.2500 0.2500  4 Cd 3.04, 4 Al 3.04
Cd: 0.5000 0.5000 0.5000  4 Cl 3.04, 4 Al 3.04
Cl: 0.7500 0.7500 0.7500  4 Cd 3.04, 4 Al 3.04

## Properties
M_tot ... 0.000 μB per formula unit
Density ... 3.9 g/cm³
Volume ... 21.7 Å³ per atom

---

x) DFT (GGA-PBE) results for a relaxed structure of Al2CdCl.

abc: 4.0322 4.0322 5.5263
angles: 90.00 90.00 90.00
Last column: nearest neighbours and their distance in Å.
Fractional positions:
Al: 0.0000 0.5000 0.0000  4 Al 2.85
Al: 0.5000 0.0000 0.0000  4 Al 2.85
Cd: 0.0000 0.0000 0.5000  4 Cl 2.85
Cl: 0.5000 0.5000 0.5000  4 Cd 2.85

## Properties
M_tot ... 0.000 μB per formula unit
Density ... 3.7 g/cm³
Volume ... 22.5 Å³ per atom

---

Q: Which of them is the least stable? A: w).